Entry P
Below is a relaxed structure of CuAg4, with properties calculated at the PBE level.

Cell: 5.0037 5.0037 12.3186 Å, 100.14 100.14 33.79°
Element x y z (fractional)
Cu1 0.0982 0.0982 0.1960
Cu2 0.9018 0.9018 0.8040
Ag1 0.0000 0.0000 0.5000
Ag2 0.2081 0.2081 0.8980
Ag3 0.2994 0.2994 0.6091
Ag4 0.4075 0.4075 0.2937
Ag5 0.5000 0.5000 0.0000
Ag6 0.5925 0.5925 0.7063
Ag7 0.7006 0.7006 0.3909
Ag8 0.7919 0.7919 0.1020

Entry Q
Below is a relaxed structure of CuAg4, with properties calculated at the PBE level.

Cell: 10.3414 10.3414 4.0967 Å, 90.00 90.00 157.38°
Element x y z (fractional)
Cu1 0.0456 0.9544 0.7500
Cu2 0.9544 0.0456 0.2500
Ag1 0.1448 0.8552 0.2500
Ag2 0.2502 0.7498 0.7500
Ag3 0.3557 0.6443 0.2500
Ag4 0.4541 0.5459 0.7500
Ag5 0.5459 0.4541 0.2500
Ag6 0.6443 0.3557 0.7500
Ag7 0.7498 0.2502 0.2500
Ag8 0.8552 0.1448 0.7500

The structure with the most favorable energy is entry Q; the runner-up is 0.5 kJ/mol of atoms above it.